(1)
TmGeH2O4 PBE-GGA relaxed; raw total energy = -99.74 eV/cell; M_tot = 0.0 μB per cell; energy above the most stable polymorph in this dataset = 0.012 eV/atom
1.0
-1.575 4.822 4.505
1.390 -3.834 4.589
4.565 -0.497 -1.797
O H Tm Ge
8 4 2 2
Direct
0.484 0.750 0.444 O
0.936 0.477 0.685 O
0.575 0.750 0.019 O
0.936 0.023 0.685 O
0.064 0.523 0.315 O
0.516 0.250 0.556 O
0.425 0.250 0.981 O
0.064 0.977 0.315 O
0.474 0.250 0.814 H
0.000 0.000 0.500 H
0.526 0.750 0.186 H
0.000 0.500 0.500 H
0.170 0.250 0.121 Tm
0.830 0.750 0.879 Tm
0.704 0.250 0.407 Ge
0.296 0.750 0.593 Ge

---

(2)
Pm5Ge3H PBE-GGA relaxed; raw total energy = -95.46 eV/cell; M_tot = 0.0 μB per cell
1.0
8.801 0.000 0.000
-4.401 7.622 0.000
0.000 0.000 6.490
Ge Pm H
6 10 2
Direct
0.388 0.000 0.250 Ge
0.000 0.612 0.750 Ge
0.000 0.388 0.250 Ge
0.612 0.000 0.750 Ge
0.388 0.388 0.750 Ge
0.612 0.612 0.250 Ge
0.667 0.333 0.500 Pm
0.750 0.750 0.750 Pm
0.250 0.000 0.750 Pm
0.667 0.333 0.000 Pm
0.000 0.750 0.250 Pm
0.000 0.250 0.750 Pm
0.750 0.000 0.250 Pm
0.250 0.250 0.250 Pm
0.333 0.667 0.000 Pm
0.333 0.667 0.500 Pm
0.000 0.000 0.500 H
0.000 0.000 0.000 H

---

(3)
ZnGeTe4H2 PBE-GGA relaxed; raw total energy = -23.37 eV/cell
1.0
-2.914 2.914 5.807
2.914 -2.914 5.807
2.914 2.914 -5.807
Te Zn H Ge
4 1 2 1
Direct
0.391 0.391 0.494 Te
0.609 0.103 0.000 Te
0.103 0.609 0.000 Te
0.897 0.897 0.506 Te
0.500 0.500 0.000 Zn
0.750 0.250 0.500 H
0.250 0.750 0.500 H
0.000 0.000 0.000 Ge